Compound: MnTl3F4
Source: Alexandria
Functional: GGA+U
Structure: relaxed

Computed properties:
Symmetry   No. 31
Distance to the lowest polymorph of the same formula   0 meV/atom

Cell: 8.506 6.870 6.020 Å, 90.00 90.00 90.00°
Element x y z (fractional)
Mn: 0.000 0.167 0.000
Mn: 0.500 0.833 0.500
Tl: 0.000 0.834 0.486
Tl: 0.228 0.674 0.972
Tl: 0.272 0.326 0.472
Tl: 0.500 0.166 0.986
Tl: 0.728 0.326 0.472
Tl: 0.772 0.674 0.972
F: 0.000 0.195 0.665
F: 0.000 0.422 0.171
F: 0.195 0.053 0.145
F: 0.305 0.947 0.645
F: 0.500 0.578 0.671
F: 0.500 0.805 0.165
F: 0.695 0.947 0.645
F: 0.805 0.053 0.145